No. 1
Entry from the Alexandria database: a relaxed structure of K2LiAl (PBE).

- formation enthalpy at 0 K (meV/atom) = 360.0
- theoretical density (g/cm3) = 1.2
- density of states at the Fermi level (states/eV per cell) = 2.52

Cell: 5.567 5.567 4.940 Å, 90.00 90.00 90.00°
Positions (direct):
K (0.000, 0.500, 0.000)
K (0.500, 0.000, 0.000)
Li (0.000, 0.000, 0.500)
Al (0.500, 0.500, 0.500)

---

No. 2
Entry from the Alexandria database: a relaxed structure of Mg2BiSe (PBE).

- theoretical density (g/cm3) = 5.9
- offset from the most stable computed form (meV per atom) = 456
- E_form (uncorrected) (eV/atom) = -0.203
- density of states at the Fermi level (states/eV per cell) = 2.97

Cell: 5.127 5.127 5.127 Å, 60.00 60.00 60.00°
Positions (direct):
Mg (0.250, 0.250, 0.250)
Mg (0.750, 0.750, 0.750)
Bi (0.000, 0.000, 0.000)
Se (0.500, 0.500, 0.500)

---

No. 3
Entry from the Alexandria database: a relaxed structure of UPRu2 (PBE).

- formation enthalpy at 0 K (meV/atom) = -324.8
- theoretical density (g/cm3) = 11.2
- density of states at the Fermi level (states/eV per cell) = 3.81

Cell: 4.284 4.284 3.901 Å, 94.89 94.89 79.36°
Positions (direct):
U (0.000, 0.000, 0.000)
P (0.500, 0.500, 0.000)
Ru (0.285, 0.285, 0.436)
Ru (0.715, 0.715, 0.564)

---

No. 4
Entry from the Alexandria database: a relaxed structure of CsTaN2O (PBE).

- theoretical density (g/cm3) = 7.2
- E_form (uncorrected) (eV/atom) = 2.700
- density of states at the Fermi level (states/eV per cell) = 4.82

Cell: 4.436 4.436 4.206 Å, 90.00 90.00 90.00°
Positions (direct):
Cs (0.000, 0.000, 0.000)
Ta (0.500, 0.500, 0.500)
N (0.000, 0.500, 0.000)
N (0.500, 0.000, 0.000)
O (0.000, 0.000, 0.500)

---

No. 5
Entry from the Alexandria database: a relaxed structure of SiPb3 (PBE).

- theoretical density (g/cm3) = 9.5
- offset from the most stable computed form (meV per atom) = 29
- E_form (uncorrected) (eV/atom) = 0.300
- density of states at the Fermi level (states/eV per cell) = 1.78

Cell: 11.125 11.125 11.125 Å, 17.90 17.90 17.90°
Positions (direct):
Si (0.000, 0.000, 0.000)
Pb (0.264, 0.264, 0.264)
Pb (0.500, 0.500, 0.500)
Pb (0.736, 0.736, 0.736)

---

No. 6
Entry from the Alexandria database: a relaxed structure of SmHo3Ir8 (PBE).

- formation enthalpy at 0 K (meV/atom) = -799.4
- theoretical density (g/cm3) = 16.6
- density of states at the Fermi level (states/eV per cell) = 9.44

Cell: 9.288 9.288 9.288 Å, 33.58 33.58 33.58°
Positions (direct):
Sm (0.000, 0.000, 0.000)
Ho (0.125, 0.125, 0.125)
Ho (0.500, 0.500, 0.500)
Ho (0.624, 0.624, 0.624)
Ir (0.062, 0.062, 0.561)
Ir (0.062, 0.561, 0.062)
Ir (0.063, 0.563, 0.563)
Ir (0.312, 0.312, 0.312)
Ir (0.561, 0.062, 0.062)
Ir (0.563, 0.063, 0.563)
Ir (0.563, 0.563, 0.063)
Ir (0.812, 0.812, 0.812)

---

No. 7
Entry from the Alexandria database: a relaxed structure of LaMg2ReSe (PBE).

- theoretical density (g/cm3) = 6.2
- E_form (uncorrected) (eV/atom) = 0.422
- density of states at the Fermi level (states/eV per cell) = 3.67

Cell: 5.056 5.056 4.732 Å, 90.00 90.00 90.00°
Positions (direct):
La (0.000, 0.000, 0.000)
Mg (0.000, 0.500, 0.500)
Mg (0.500, 0.000, 0.500)
Re (0.500, 0.500, 0.000)
Se (0.500, 0.500, 0.500)

---

No. 8
Entry from the Alexandria database: a relaxed structure of In2SiPBr (PBE).

- theoretical density (g/cm3) = 3.7
- E_form (uncorrected) (eV/atom) = 1.022
- density of states at the Fermi level (states/eV per cell) = 3.41

Cell: 5.764 5.764 5.025 Å, 90.00 90.00 90.00°
Positions (direct):
In (0.000, 0.500, 0.000)
In (0.500, 0.000, 0.000)
Si (0.000, 0.000, 0.500)
P (0.500, 0.500, 0.500)
Br (0.000, 0.000, 0.000)